1.
Computed, not measured: BaCuHg2Bi after structural relaxation at the PBE-GGA level of DFT.

Formation energy from the elements = 783 meV/atom
Size of the total moment = 0.001 μB/atom
SG = P4/mmm, No. 123
Raw total energy = -0.097 Ry per atom

a b c (Å): 6.5712 6.5712 6.5725
angles (deg): 90.00 90.00 90.00
Element x y z (fractional)
Ba 0.0000 0.0000 0.0000
Cu 0.5000 0.5000 0.5000
Hg 0.0000 0.5000 0.0000
Hg 0.5000 0.0000 0.0000
Bi 0.0000 0.0000 0.5000

---

2.
Computed, not measured: SrAlAs2Se after structural relaxation at the PBE-GGA level of DFT.

Formation energy (no corrections) = -0.4141 eV/atom
Size of the total moment = 0.000 μB/atom
SG = P4/mmm, No. 123
Raw total energy = -0.298 Ry per atom

a b c (Å): 4.8933 4.8933 5.2364
angles (deg): 90.00 90.00 90.00
Element x y z (fractional)
Sr 0.0000 0.0000 0.0000
Al 0.5000 0.5000 0.5000
As 0.0000 0.5000 0.5000
As 0.5000 0.0000 0.5000
Se 0.5000 0.5000 0.0000